## Zr2ZnCd2 (GGA-PBE)

Data for a relaxed Zr2ZnCd2 crystal.

a = 6.883 Å, b = 6.883 Å, c = 4.505 Å
α = 90.00°, β = 90.00°, γ = 90.00°
Positions (direct):
Zr1 0.166 0.334 0.000
Zr2 0.334 0.834 0.000
Zr3 0.666 0.166 0.000
Zr4 0.834 0.666 0.000
Zn1 0.000 0.000 0.500
Zn2 0.500 0.500 0.500
Cd1 0.142 0.642 0.500
Cd2 0.358 0.142 0.500
Cd3 0.642 0.858 0.500
Cd4 0.858 0.358 0.500

The polymorph energy (0 for the lowest one) comes out at 10.9 kJ/mol of atoms. Its total energy is -4.009 eV/atom. The value obtained for the mass density is 7.36 Mg/m³. Its symmetry is P4/mbm.


## Nd4SiAs2 (GGA-PBE)

Data for a relaxed Nd4SiAs2 crystal.

a = 7.849 Å, b = 7.849 Å, c = 7.849 Å
α = 109.57°, β = 109.57°, γ = 109.28°
Positions (direct):
Nd1 0.122 0.741 0.749
Nd2 0.123 0.242 0.751
Nd3 0.259 0.008 0.381
Nd4 0.491 0.372 0.249
Nd5 0.627 0.878 0.619
Nd6 0.628 0.877 0.119
Nd7 0.758 0.509 0.881
Nd8 0.992 0.373 0.251
Si1 0.000 0.000 0.000
Si2 0.750 0.250 0.500
As1 0.251 0.625 0.126
As2 0.375 0.501 0.626
As3 0.499 0.125 0.874
As4 0.875 0.749 0.374

Its total energy is -5.899 eV/atom. The value obtained for the mass density is 6.74 Mg/m³. The formation energy (no corrections) is -1.071 eV per atom. Its symmetry is I-42d.


## ZrAlIr2 (GGA-PBE)

Data for a relaxed ZrAlIr2 crystal.

a = 9.125 Å, b = 9.125 Å, c = 9.125 Å
α = 153.93°, β = 153.93°, γ = 37.20°
Positions (direct):
Zr1 0.000 0.000 0.000
Zr2 0.750 0.250 0.500
Al1 0.250 0.750 0.500
Al2 0.500 0.500 0.000
Ir1 0.175 0.625 0.050
Ir2 0.375 0.425 0.550
Ir3 0.575 0.125 0.950
Ir4 0.875 0.825 0.450

Its total energy is -7.662 eV/atom. The value obtained for the mass density is 11.40 Mg/m³. Its symmetry is I-42d.


## PHI3 (GGA-PBE)

Data for a relaxed PHI3 crystal.

a = 5.546 Å, b = 5.546 Å, c = 5.546 Å
α = 90.00°, β = 90.00°, γ = 90.00°
Positions (direct):
P1 0.000 0.000 0.000
H1 0.500 0.500 0.500
I1 0.000 0.000 0.500
I2 0.000 0.500 0.000
I3 0.500 0.000 0.000

The polymorph energy (0 for the lowest one) comes out at 53.7 kJ/mol of atoms. Its total energy is -2.086 eV/atom. The value obtained for the mass density is 4.02 Mg/m³. Its symmetry is Pm-3m.


## Cs3Sr2PaS6 (GGA-PBE)

Data for a relaxed Cs3Sr2PaS6 crystal.

a = 7.487 Å, b = 7.487 Å, c = 8.411 Å
α = 98.52°, β = 98.52°, γ = 119.93°
Positions (direct):
Cs1 0.000 0.000 0.000
Cs2 0.327 0.673 0.000
Cs3 0.673 0.327 0.000
Sr1 0.166 0.834 0.500
Sr2 0.834 0.166 0.500
Pa1 0.500 0.500 0.500
S1 0.139 0.438 0.315
S2 0.265 0.265 0.688
S3 0.438 0.139 0.315
S4 0.562 0.861 0.685
S5 0.735 0.735 0.312
S6 0.861 0.562 0.685

Its total energy is -5.071 eV/atom. The value obtained for the mass density is 4.24 Mg/m³. The formation energy (no corrections) is -1.722 eV per atom. Its symmetry is C2/m.


## SrHfTlBi2 (GGA-PBE)

Data for a relaxed SrHfTlBi2 crystal.

a = 5.955 Å, b = 5.955 Å, c = 5.769 Å
α = 90.00°, β = 90.00°, γ = 90.00°
Positions (direct):
Sr1 0.000 0.000 0.000
Hf1 0.500 0.500 0.500
Tl1 0.000 0.000 0.500
Bi1 0.000 0.500 0.000
Bi2 0.500 0.000 0.000

Its total energy is -3.203 eV/atom. The value obtained for the mass density is 7.21 Mg/m³. Its symmetry is P4/mmm.


Please write out number 2 again, unchanged.
## Nd4SiAs2 (GGA-PBE)

Data for a relaxed Nd4SiAs2 crystal.

a = 7.849 Å, b = 7.849 Å, c = 7.849 Å
α = 109.57°, β = 109.57°, γ = 109.28°
Positions (direct):
Nd1 0.122 0.741 0.749
Nd2 0.123 0.242 0.751
Nd3 0.259 0.008 0.381
Nd4 0.491 0.372 0.249
Nd5 0.627 0.878 0.619
Nd6 0.628 0.877 0.119
Nd7 0.758 0.509 0.881
Nd8 0.992 0.373 0.251
Si1 0.000 0.000 0.000
Si2 0.750 0.250 0.500
As1 0.251 0.625 0.126
As2 0.375 0.501 0.626
As3 0.499 0.125 0.874
As4 0.875 0.749 0.374

Its total energy is -5.899 eV/atom. The value obtained for the mass density is 6.74 Mg/m³. The formation energy (no corrections) is -1.071 eV per atom. Its symmetry is I-42d.